This record from Alexandria via LeMat-Bulk describes a geometry-optimized LaSi2NiCl structure. The functional is PBE.

abc: 4.2516 4.2516 5.9786
angles: 90.00 90.00 90.00
Atoms (fractional coordinates):
La  0.0000  0.0000  0.0000
Si  0.0000  0.5000  0.5000
Si  0.5000  0.0000  0.5000
Ni  0.5000  0.5000  0.5000
Cl  0.5000  0.5000  0.0000

Symmetry: P4/mmm (123)
E_form (uncorrected) (meV/atom): -421.7
Raw total energy (eV/atom): -5.1020
Size of the total moment (μB per formula unit): 0.0

This record from Alexandria via LeMat-Bulk describes a geometry-optimized RbThAuO4 structure. The functional is PBE.

abc: 7.7759 7.7759 7.7759
angles: 131.95 124.62 76.31
Atoms (fractional coordinates):
Rb  0.4190  0.1690  0.2500
Rb  0.5810  0.8310  0.7500
Th  0.0000  0.5000  0.5000
Th  0.5000  0.5000  0.0000
Au  0.0000  0.0000  0.5000
Au  0.0000  0.5000  0.0000
O  0.1357  0.7109  0.4248
O  0.2139  0.2891  0.9248
O  0.2684  0.3096  0.5411
O  0.2684  0.7273  0.9589
O  0.7316  0.2727  0.0411
O  0.7316  0.6904  0.4589
O  0.7861  0.7109  0.0752
O  0.8643  0.2891  0.5752

Symmetry: Imma (74)
E_form (uncorrected) (meV/atom): -1842.8
Raw total energy (eV/atom): -6.3424
Size of the total moment (μB per formula unit): 0.0

This record from Alexandria via LeMat-Bulk describes a geometry-optimized SmMnSi2 structure. The functional is PBE.

abc: 4.0037 17.4209 3.9989
angles: 90.00 90.00 90.00
Atoms (fractional coordinates):
Sm  0.0000  0.1018  0.2500
Sm  0.0000  0.8982  0.7500
Sm  0.5000  0.3982  0.7500
Sm  0.5000  0.6018  0.2500
Mn  0.0000  0.2509  0.7500
Mn  0.0000  0.7491  0.2500
Mn  0.5000  0.2491  0.2500
Mn  0.5000  0.7509  0.7500
Si  0.0000  0.3234  0.2500
Si  0.0000  0.4644  0.2500
Si  0.0000  0.5356  0.7500
Si  0.0000  0.6766  0.7500
Si  0.5000  0.0356  0.7500
Si  0.5000  0.1766  0.7500
Si  0.5000  0.8234  0.2500
Si  0.5000  0.9644  0.2500

Symmetry: Cmcm (63)
E_form (uncorrected) (meV/atom): -627.4
Raw total energy (eV/atom): -6.8111
Size of the total moment (μB per formula unit): 1.9

This record from Alexandria via LeMat-Bulk describes a geometry-optimized YF structure. The functional is PBE.

abc: 3.7325 3.7325 19.5390
angles: 90.00 90.00 120.00
Atoms (fractional coordinates):
Y  0.0000  0.0000  0.2397
Y  0.0000  0.0000  0.7603
Y  0.3333  0.6667  0.4270
Y  0.3333  0.6667  0.9064
Y  0.6667  0.3333  0.0936
Y  0.6667  0.3333  0.5730
F  0.0000  0.0000  0.3709
F  0.0000  0.0000  0.6291
F  0.3333  0.6667  0.0376
F  0.3333  0.6667  0.2958
F  0.6667  0.3333  0.7042
F  0.6667  0.3333  0.9624

Symmetry: R-3m (166)
Offset from the most stable computed form (meV/atom): 54.9
E_form (uncorrected) (meV/atom): -2535.7
Raw total energy (eV/atom): -6.7033
Size of the total moment (μB per formula unit): 0.7